Entry from OQMD: crystalline LuTlAs at its relaxed geometry (PBE).

Computed properties:
The total energy comes out at -45.56 eV/cell.

a = 6.970 Å, b = 6.970 Å, c = 6.970 Å
α = 90.00°, β = 90.00°, γ = 90.00°
Space group F-43m (No. 216)
One atom of each set of equivalent atoms:
Lu (0.000, 0.000, 0.000) (multiplicity 4)
Tl (0.250, 0.250, 0.750) (multiplicity 4)
As (0.000, 0.000, 0.500) (multiplicity 4)